VASP calculation (GGA-PBE) on a geometry-optimized NdErMgRu structure.

a b c (Å): 3.4329 3.4329 8.5533
angles (deg): 90.00 90.00 90.00
Fractional positions:
1 Nd 0.5000 0.5000 0.7693
2 Ru 0.0000 0.0000 0.5592
3 Er 0.5000 0.5000 0.3748
4 Mg 0.0000 0.0000 0.0814

Output
DOS at the Fermi energy in states/eV per atom: 0.899
VASP energy in eV/atom: -5.277
Energy relative to the elements in eV per atom: -0.226
Space-group type: P4mm (99)